Entry 1:
11
Lattice="5.9904 -2.9159 0.0000 5.9904 2.9159 0.0000 -1.4003 0.0000 5.7422" Properties=species:S:1:pos:R:3 comment="Mg2Zn4Au5, optimized geometry, DFT GGA-PBE" volume_a3_per_cell=200.6 m_tot_mub_per_cell=0.000 e_form_ev_per_atom=-0.17 crystal_system=monoclinic pbc="T T T"
Mg 1.9648 0.0000 1.6265
Mg 8.6157 0.0000 4.1157
Zn 1.9265 0.0000 4.4592
Zn 4.1752 0.0000 3.4626
Zn 6.4053 0.0000 2.2796
Zn 8.6540 0.0000 1.2830
Au -0.7002 0.0000 2.8711
Au 4.6724 1.3973 0.6165
Au 5.9081 1.3973 5.1256
Au 4.6724 -1.3973 0.6165
Au 5.9081 -1.3973 5.1256

=====

Entry 2:
5
Lattice="5.0854 0.0000 0.0000 0.0000 5.0854 0.0000 0.0000 0.0000 5.0389" Properties=species:S:1:pos:R:3 comment="Pr2NdPbN, optimized geometry, DFT GGA-PBE" volume_a3_per_cell=130.3 m_tot_mub_per_cell=0.000 crystal_system=tetragonal e_form_raw_ev_per_fu=-4.31 pbc="T T T"
Pr 0.0000 2.5427 0.0000
Pr 2.5427 0.0000 0.0000
Nd 0.0000 0.0000 2.5195
Pb 2.5427 2.5427 2.5195
N 0.0000 0.0000 0.0000

=====

Entry 3:
6
Lattice="0.0000 3.7065 3.7065 3.7065 0.0000 3.7065 3.7065 3.7065 0.0000" Properties=species:S:1:pos:R:3 comment="Mg4OsPt, optimized geometry, DFT GGA-PBE" volume_a3_per_cell=101.8 m_tot_mub_per_cell=0.000 e_form_ev_per_atom=0.41 crystal_system=cubic pbc="T T T"
Mg 0.9245 0.9245 0.9245
Mg 2.7820 2.7820 0.9245
Mg 2.7820 0.9245 2.7820
Mg 0.9245 2.7820 2.7820
Os 5.5598 5.5598 5.5598
Pt 3.7065 3.7065 3.7065

=====

Entry 4:
9
Lattice="-5.9502 5.9502 2.7068 5.9502 -5.9502 2.7068 5.9502 5.9502 -2.7068" Properties=species:S:1:pos:R:3 comment="Ca4Ac4La, optimized geometry, DFT GGA-PBE" volume_a3_per_cell=383.3 m_tot_mub_per_cell=0.000 e_form_ev_per_atom=0.04 crystal_system=tetragonal pbc="T T T"
Ca 3.9588 0.0000 0.0000
Ca 7.9416 0.0000 0.0000
Ca 0.0000 3.9588 0.0000
Ca 0.0000 7.9416 0.0000
Ac 4.0190 4.0190 0.0000
Ac 1.9312 -1.9312 2.7068
Ac -1.9312 1.9312 2.7068
Ac 1.9312 1.9312 2.7068
La 0.0000 0.0000 0.0000